(1)
PBE HfVSn, relaxed; SG = Pnma, No. 62; formation energy = -66 meV/atom; DFT total energy = -0.570 Ry/atom; total magnetic moment = 0.000 μB/atom
1.0
9.655 0.000 0.000
0.000 3.326 0.000
0.000 0.000 7.475
Hf V Sn
4 4 4
Direct
0.093 0.250 0.154
0.407 0.750 0.654
0.593 0.250 0.346
0.907 0.750 0.846
0.085 0.750 0.462
0.415 0.250 0.962
0.585 0.750 0.038
0.915 0.250 0.538
0.159 0.250 0.756
0.341 0.750 0.256
0.659 0.250 0.744
0.841 0.750 0.244


(2)
PBE MnSnPt3, relaxed; SG = Pm-3m, No. 221; formation energy = 1492 meV/atom; DFT total energy = -0.350 Ry/atom; energy above the most stable polymorph in this dataset = 809.5 meV/atom; total magnetic moment = 0.170 μB/atom
1.0
4.955 0.000 0.000
0.000 4.955 0.000
0.000 0.000 4.955
Mn Sn Pt
1 1 3
Direct
0.000 0.000 0.000
0.500 0.500 0.500
0.000 0.500 0.500
0.500 0.000 0.500
0.500 0.500 0.000


(3)
PBE Ta2BCl, relaxed; SG = Fm-3m, No. 225; E_form (uncorrected) = 31.4 kJ/mol of atoms; DFT total energy = -0.568 Ry/atom; energy above the most stable polymorph in this dataset = 0.0 meV/atom; total magnetic moment = 0.000 μB/atom
1.0
0.000 3.014 3.014
3.014 0.000 3.014
3.014 3.014 0.000
Ta B Cl
2 1 1
Direct
0.250 0.250 0.250
0.750 0.750 0.750
0.000 0.000 0.000
0.500 0.500 0.500


(4)
PBE MgNiSb2, relaxed; SG = P4/mmm, No. 123; E_form (uncorrected) = 8.2 kJ/mol of atoms; DFT total energy = -0.281 Ry/atom; total magnetic moment = 0.000 μB/atom
1.0
4.551 0.000 0.000
0.000 4.551 0.000
0.000 0.000 3.963
Mg Ni Sb
1 1 2
Direct
0.000 0.000 0.000
0.500 0.500 0.000
0.000 0.500 0.500
0.500 0.000 0.500


(5)
PBE Ba2Eu, relaxed; SG = Fd-3m, No. 227; formation energy = 205 meV/atom; DFT total energy = -0.331 Ry/atom; total magnetic moment = 2.647 μB/atom
1.0
0.000 5.645 5.645
5.645 0.000 5.645
5.645 5.645 0.000
Ba Eu
4 2
Direct
0.000 0.000 0.000
0.000 0.000 0.500
0.000 0.500 0.000
0.500 0.000 0.000
0.375 0.375 0.375
0.625 0.625 0.625


(6)
PBE LiAlCr2, relaxed; SG = F-43m, No. 216; formation energy = 136 meV/atom; DFT total energy = -0.448 Ry/atom; total magnetic moment = 0.081 μB/atom
1.0
0.000 3.012 3.012
3.012 0.000 3.012
3.012 3.012 0.000
Li Al Cr
1 1 2
Direct
0.000 0.000 0.000
0.750 0.750 0.750
0.250 0.250 0.250
0.500 0.500 0.500


(7)
PBE Pr2As3PPd4, relaxed; SG = P-4m2, No. 115; formation energy = -892 meV/atom; DFT total energy = -0.431 Ry/atom; total magnetic moment = 0.000 μB/atom
1.0
4.432 0.000 0.000
0.000 4.432 0.000
0.000 0.000 9.837
Pr As P Pd
2 3 1 4
Direct
0.000 0.500 0.244
0.500 0.000 0.756
0.000 0.000 0.000
0.000 0.500 0.634
0.500 0.000 0.366
0.500 0.500 0.000
0.000 0.000 0.500
0.000 0.500 0.887
0.500 0.000 0.113
0.500 0.500 0.500


(8)
PBE SbMoSN2, relaxed; SG = P4/mmm, No. 123; E_form (uncorrected) = 44.7 kJ/mol of atoms; DFT total energy = -0.491 Ry/atom; energy above the most stable polymorph in this dataset = 0.0 meV/atom; total magnetic moment = 0.028 μB/atom
1.0
3.977 0.000 0.000
0.000 3.977 0.000
0.000 0.000 4.950
Sb Mo S N
1 1 1 2
Direct
0.000 0.000 0.000
0.500 0.500 0.500
0.500 0.500 0.000
0.000 0.500 0.500
0.500 0.000 0.500